1.
A plane-wave DFT calculation with GGA-PBEsol was carried out for GdSnAu after structural relaxation.

Density: 10.61 g/cm³
Electronic total energy: -0.619 Ry/atom
M_tot: 7.0 μB per formula unit

Lattice parameters (Å, degrees): 6.6647 6.6647 6.6647 90.00 90.00 90.00
With the nearest neighbours (Å) after each atom.
Space group F-43m (No. 216)
Symmetry-distinct sites (fractional):
Gd 0.0000 0.0000 0.0000 x4  4 Au 2.89
Sn 0.0000 0.0000 0.5000 x4  4 Au 2.89
Au 0.2500 0.2500 0.2500 x4  4 Gd 2.89, 4 Sn 2.89


2.
A plane-wave DFT calculation with GGA-PBEsol was carried out for In2IN after structural relaxation.

Formation energy without anion corrections: 1021 meV per atom
Density: 6.93 g/cm³
Electronic total energy: -0.224 Ry/atom
M_tot: 0.0 μB per formula unit

Lattice parameters (Å, degrees): 7.0806 7.0806 7.0806 90.00 90.00 90.00
With the nearest neighbours (Å) after each atom.
Space group Fm-3m (No. 225)
Symmetry-distinct sites (fractional):
In 0.2500 0.2500 0.2500 x8  4 I 3.07, 4 N 3.07
I 0.0000 0.0000 0.0000 x4  8 In 3.07
N 0.0000 0.0000 0.5000 x4  8 In 3.07


3.
A plane-wave DFT calculation with GGA-PBEsol was carried out for RbBaIr2 after structural relaxation.

Density: 10.19 g/cm³
Electronic total energy: -0.324 Ry/atom
M_tot: 0.0 μB per formula unit

Lattice parameters (Å, degrees): 7.3411 7.3411 7.3411 90.00 90.00 90.00
With the nearest neighbours (Å) after each atom.
Space group Fm-3m (No. 225)
Symmetry-distinct sites (fractional):
Rb 0.0000 0.0000 0.0000 x4  8 Ir 3.18
Ba 0.0000 0.0000 0.5000 x4  8 Ir 3.18
Ir 0.2500 0.2500 0.2500 x8  4 Ba 3.18, 4 Rb 3.18


4.
A plane-wave DFT calculation with GGA-PBEsol was carried out for LiCdAg2 after structural relaxation.

Density: 8.27 g/cm³
Electronic total energy: -0.193 Ry/atom
M_tot: 0.0 μB per formula unit

Lattice parameters (Å, degrees): 6.4560 6.4560 6.4560 90.00 90.00 90.00
With the nearest neighbours (Å) after each atom.
Space group F-43m (No. 216)
Symmetry-distinct sites (fractional):
Li 0.0000 0.0000 0.0000 x4  4 Cd 2.80, 4 Ag 2.80
Cd 0.2500 0.2500 0.2500 x4  4 Li 2.80, 4 Ag 2.80
Ag 0.0000 0.0000 0.5000 x4  4 Ag 2.80, 4 Cd 2.80
Ag 0.2500 0.2500 0.7500 x4  4 Li 2.80, 4 Ag 2.80


5.
A plane-wave DFT calculation with GGA-PBEsol was carried out for K2HfCu2 after structural relaxation.

Density: 5.05 g/cm³
Electronic total energy: -0.211 Ry/atom
M_tot: 0.6 μB per formula unit

Lattice parameters (Å, degrees): 5.2073 5.2073 9.2997 90.00 90.00 90.00
With the nearest neighbours (Å) after each atom.
Space group I4/mmm (No. 139)
Symmetry-distinct sites (fractional):
K 0.0000 0.0000 0.1415 x4  1 K 2.63, 4 Cu 2.79
Hf 0.0000 0.0000 0.5000 x2  2 K 3.33, 8 Cu 3.49
Cu 0.0000 0.5000 0.2500 x4  4 K 2.79


6.
A plane-wave DFT calculation with GGA-PBEsol was carried out for Be2SbTe after structural relaxation.

Formation energy without anion corrections: 45 meV per atom
Density: 5.09 g/cm³
Electronic total energy: -0.292 Ry/atom
M_tot: 0.0 μB per formula unit

Lattice parameters (Å, degrees): 5.6427 5.6427 10.9567 90.00 90.00 90.00
With the nearest neighbours (Å) after each atom.
Space group I-42d (No. 122)
Symmetry-distinct sites (fractional):
Be 0.2471 0.2500 0.1250 x8  2 Te 2.41, 2 Sb 2.43
Sb 0.0000 0.0000 0.5000 x4  4 Be 2.43
Te 0.0000 0.0000 0.0000 x4  4 Be 2.41


7.
A plane-wave DFT calculation with GGA-PBEsol was carried out for LiNd2Al after structural relaxation.

Density: 5.28 g/cm³
Electronic total energy: -0.314 Ry/atom
M_tot: 0.0 μB per formula unit

Lattice parameters (Å, degrees): 7.4013 7.4013 7.4013 90.00 90.00 90.00
With the nearest neighbours (Å) after each atom.
Space group Fm-3m (No. 225)
Symmetry-distinct sites (fractional):
Li 0.0000 0.0000 0.0000 x4  8 Nd 3.20
Nd 0.2500 0.2500 0.2500 x8  4 Li 3.20, 4 Al 3.20
Al 0.0000 0.0000 0.5000 x4  8 Nd 3.20


8.
A plane-wave DFT calculation with GGA-PBEsol was carried out for CuSiTe2 after structural relaxation.

Formation energy without anion corrections: 259 meV per atom
Density: 6.47 g/cm³
Electronic total energy: -0.296 Ry/atom
M_tot: 0.0 μB per formula unit

Lattice parameters (Å, degrees): 7.6988 7.6991 3.0059 90.00 91.53 90.00
With the nearest neighbours (Å) after each atom.
Space group C2/m (No. 12)
Symmetry-distinct sites (fractional):
Cu 0.0000 0.0000 0.0000 x2  4 Te 2.72, 2 Cu 3.01
Si 0.0000 0.5000 0.0000 x2  4 Te 2.72, 2 Si 3.01
Te 0.2500 0.2500 0.0000 x4  2 Cu 2.72, 2 Si 2.72, 2 Te 3.01